# 1
Material: Fe3Co4
Method: DFT, PBEsol
State: relaxed

Unit cell a=3.955 b=4.613 c=4.616 alpha=95.36 beta=90.00 gamma=115.39
Each line ends with the local moment (μB).
Fractional coordinates of all 7 atoms:
Co1 0.855 0.710 0.929  1.71
Co2 0.713 0.426 0.365  1.75
Co3 0.145 0.290 0.071  1.71
Co4 0.287 0.574 0.635  1.75
Fe1 0.428 0.856 0.212  2.57
Fe2 0.000 0.000 0.500  2.51
Fe3 0.572 0.144 0.788  2.57

Computed properties:
Its crystal system is monoclinic. Its density of states at the Fermi level is 0.97 states/eV/atom. The calculation puts the total energy at -0.60413 Ry/atom. The spin magnetization comes out at 14.5 Bohr magnetons per cell. As for the space group: C2/m, No. 12. The relative energy among the computed polymorphs comes out at 0.038 eV/atom. The formation energy is 43 meV/atom.


# 2
Material: NiGeH2W
Method: DFT, PBEsol
State: relaxed

Unit cell a=3.417 b=3.417 c=5.084 alpha=90.00 beta=90.00 gamma=90.00
Each line ends with the local moment (μB).
Fractional coordinates of all 5 atoms:
H1 0.500 0.000 0.000  0.01
H2 0.000 0.500 0.000  0.01
W1 0.500 0.500 0.500  1.00
Ni1 0.000 0.000 0.500  0.10
Ge1 0.000 0.000 0.000  0.00

Computed properties:
Its crystal system is tetragonal. Its density of states at the Fermi level is 0.81 states/eV/atom. The calculation puts the total energy at -0.38546 Ry/atom. The spin magnetization comes out at 1.5 Bohr magnetons per cell. As for the space group: P4/mmm, No. 123.


# 3
Material: K2BaCo
Method: DFT, PBEsol
State: relaxed

Unit cell a=4.927 b=4.973 c=6.588 alpha=90.00 beta=90.00 gamma=96.00
Each line ends with the local moment (μB).
Fractional coordinates of all 4 atoms:
Ba1 0.000 0.500 0.500  -0.10
K1 0.714 0.785 0.000  -0.01
K2 0.286 0.215 0.000  -0.01
Co1 0.500 0.000 0.500  1.71

Computed properties:
Its crystal system is monoclinic. Its density of states at the Fermi level is 1.32 states/eV/atom. The calculation puts the total energy at -0.16256 Ry/atom. The spin magnetization comes out at 1.3 Bohr magnetons per cell. As for the space group: P2/m, No. 10. The relative energy among the computed polymorphs comes out at 0.000 eV/atom. The formation energy is 826 meV/atom.